Entry 1:
VASP calculation (meta-GGA SCAN) on BaNdGaO4 at its PBEsol-relaxed geometry.

Lattice parameters (Å, degrees): 5.825 7.040 9.920 90.00 90.00 90.00
Space group P2_12_12_1 (No. 19)
Unique sites:
Ba: 0.004 0.079 0.422
Nd: 0.012 0.248 0.799
Ga: 0.012 0.538 0.419
O: 0.002 0.901 0.921
O: 0.179 0.749 0.476
O: 0.244 0.449 0.303
O: 0.244 0.985 0.185

Calculated values
As for the crystal system: orthorhombic. Its uncorrected formation energy is -2.97 eV/atom. The calculation puts the total energy at -20.74 eV/atom.

=====

Entry 2:
VASP calculation (meta-GGA SCAN) on BaGa4O7 at its PBEsol-relaxed geometry.

Lattice parameters (Å, degrees): 13.686 9.402 5.789 90.00 104.65 90.00
Space group C2/c (No. 15)
Unique sites:
Ba: 0.000 0.189 0.250
Ga: 0.121 0.436 0.777
Ga: 0.174 0.087 0.795
O: 0.000 0.475 0.250
O: 0.121 0.037 0.046
O: 0.127 0.258 0.667
O: 0.186 0.439 0.107

Calculated values
As for the crystal system: monoclinic. Its uncorrected formation energy is -2.27 eV/atom. The calculation puts the total energy at -14.65 eV/atom.

=====

Entry 3:
VASP calculation (meta-GGA SCAN) on BaGa3O at its PBEsol-relaxed geometry.

Lattice parameters (Å, degrees): 4.772 4.772 4.772 90.00 90.00 90.00
Space group Pm-3m (No. 221)
Unique sites:
Ba: 0.000 0.000 0.000
Ga: 0.000 0.500 0.500
O: 0.500 0.500 0.500

Calculated values
As for the crystal system: cubic. Its uncorrected formation energy is -0.22 eV/atom. The calculation puts the total energy at -19.18 eV/atom.

=====

Entry 4:
VASP calculation (meta-GGA SCAN) on BaGa12O19 at its PBEsol-relaxed geometry.

Lattice parameters (Å, degrees): 5.8246 5.8246 23.0009 90.00 90.00 120.00
Space group P6_3mc (No. 186)
Unique sites:
Ba: 0.3333 0.6667 0.0000
Ga: 0.0000 0.0000 0.2488
Ga: 0.0000 0.0000 0.4910
Ga: 0.1675 0.3350 0.1401
Ga: 0.1688 0.3376 0.8573
Ga: 0.3333 0.6667 0.2762
Ga: 0.3333 0.6667 0.4380
Ga: 0.3333 0.6667 0.5600
Ga: 0.3333 0.6667 0.7216
O: 0.0000 0.0000 0.1008
O: 0.0000 0.0000 0.3994
O: 0.0059 0.5029 0.1002
O: 0.0067 0.5033 0.8975
O: 0.1549 0.3098 0.3016
O: 0.1556 0.3112 0.6973
O: 0.1826 0.3651 0.4982
O: 0.3333 0.6667 0.1941
O: 0.3333 0.6667 0.8039

Calculated values
As for the crystal system: hexagonal. Its uncorrected formation energy is -2.15 eV/atom. The calculation puts the total energy at -13.22 eV/atom.

=====

Entry 5:
VASP calculation (meta-GGA SCAN) on Ba6Tb2Ga4O15 at its PBEsol-relaxed geometry.

Lattice parameters (Å, degrees): 7.951 5.966 18.431 90.00 91.21 90.00
Space group P2/c (No. 13)
Unique sites:
Ba: 0.000 0.167 0.250
Ba: 0.000 0.254 0.578
Ba: 0.474 0.251 0.910
Ba: 0.500 0.218 0.250
Tb: 0.253 0.248 0.090
Ga: 0.255 0.246 0.441
Ga: 0.270 0.276 0.734
O: 0.032 0.257 0.409
O: 0.191 0.163 0.818
O: 0.222 0.452 0.192
O: 0.251 0.055 0.662
O: 0.266 0.014 0.997
O: 0.267 0.483 0.508
O: 0.454 0.268 0.391
O: 0.500 0.306 0.750

Calculated values
As for the crystal system: monoclinic. Its uncorrected formation energy is -2.87 eV/atom. The calculation puts the total energy at -21.00 eV/atom.

=====

Entry 6:
VASP calculation (meta-GGA SCAN) on Ba6Y2Ga4O15 at its PBEsol-relaxed geometry.

Lattice parameters (Å, degrees): 7.939 5.954 18.402 90.00 91.27 90.00
Space group P2/c (No. 13)
Unique sites:
Ba: 0.000 0.169 0.250
Ba: 0.000 0.254 0.578
Ba: 0.474 0.251 0.910
Ba: 0.500 0.219 0.250
Y: 0.253 0.248 0.090
Ga: 0.255 0.246 0.441
Ga: 0.270 0.275 0.734
O: 0.031 0.256 0.410
O: 0.191 0.162 0.818
O: 0.222 0.454 0.191
O: 0.252 0.051 0.662
O: 0.266 0.015 0.997
O: 0.267 0.484 0.508
O: 0.454 0.268 0.391
O: 0.500 0.307 0.750

Calculated values
As for the crystal system: monoclinic. Its uncorrected formation energy is -2.88 eV/atom. The calculation puts the total energy at -19.61 eV/atom.

=====

What did the fifth record say?
VASP calculation (meta-GGA SCAN) on Ba6Tb2Ga4O15 at its PBEsol-relaxed geometry.

Lattice parameters (Å, degrees): 7.951 5.966 18.431 90.00 91.21 90.00
Space group P2/c (No. 13)
Unique sites:
Ba: 0.000 0.167 0.250
Ba: 0.000 0.254 0.578
Ba: 0.474 0.251 0.910
Ba: 0.500 0.218 0.250
Tb: 0.253 0.248 0.090
Ga: 0.255 0.246 0.441
Ga: 0.270 0.276 0.734
O: 0.032 0.257 0.409
O: 0.191 0.163 0.818
O: 0.222 0.452 0.192
O: 0.251 0.055 0.662
O: 0.266 0.014 0.997
O: 0.267 0.483 0.508
O: 0.454 0.268 0.391
O: 0.500 0.306 0.750

Calculated values
As for the crystal system: monoclinic. Its uncorrected formation energy is -2.87 eV/atom. The calculation puts the total energy at -21.00 eV/atom.